No. 1
This record from the Alexandria database describes a relaxed structure of CsPPbCl2. The functional is GGA-PBE.

a = 5.7927 Å, b = 5.7927 Å, c = 5.2918 Å
α = 90.00°, β = 90.00°, γ = 90.00°
Last column: magnetic moment on the atom in μB.
Element x y z (fractional)
Cl 0.0000 0.5000 0.0000  0.03
Cl 0.5000 0.0000 0.0000  0.03
Pb 0.0000 0.0000 0.0000  -0.01
P 0.0000 0.0000 0.5000  0.41
Cs 0.5000 0.5000 0.5000  0.01

Results
The formation energy (no corrections) is -647.2 meV/atom. The uncorrected energy comes out at -3.38 eV per atom. For the density of states at the Fermi level, the calculation gives 4.23 states/eV/cell.

---

No. 2
This record from the Alexandria database describes a relaxed structure of PuPaZnAu. The functional is GGA-PBE.

a = 5.0768 Å, b = 5.0768 Å, c = 5.0768 Å
α = 60.00°, β = 60.00°, γ = 60.00°
Last column: magnetic moment on the atom in μB.
Element x y z (fractional)
Pu 0.5000 0.5000 0.5000  5.42
Pa 0.0000 0.0000 0.0000  1.05
Au 0.7500 0.7500 0.7500  0.06
Zn 0.2500 0.2500 0.2500  0.02

Results
The uncorrected energy comes out at -7.17 eV per atom. For the density of states at the Fermi level, the calculation gives 12.00 states/eV/cell. The energy of formation from the pure elements comes out at -72 meV/atom.

---

No. 3
This record from the Alexandria database describes a relaxed structure of MgMnAg2. The functional is GGA-PBE.

a = 9.3349 Å, b = 9.3349 Å, c = 9.3349 Å
α = 18.51°, β = 18.51°, γ = 18.51°
Last column: magnetic moment on the atom in μB.
Element x y z (fractional)
Mn 0.7500 0.7500 0.7500  3.85
Mg 0.2500 0.2500 0.2500  0.00
Ag 0.4978 0.4978 0.4978  0.02
Ag 0.0022 0.0022 0.0022  0.02

Results
The uncorrected energy comes out at -3.98 eV per atom. For the density of states at the Fermi level, the calculation gives 2.07 states/eV/cell. The energy of formation from the pure elements comes out at 138 meV/atom.

---

> Among the records above, which one has the highest uncorrected energy?

CsPPbCl2